No. 1
# PBE Cr2TePt, optimized geometry
# E_form (uncorrected): 143.3 meV per atom
# density of states at the Fermi level: 2.4 states/eV/cell
data_Cr2TePt
_symmetry_space_group_name_H-M 'P 1 m 1'
_symmetry_Int_Tables_number 6
_cell_length_a 3.528
_cell_length_b 4.152
_cell_length_c 5.116
_cell_angle_alpha 90.00
_cell_angle_beta 110.00
_cell_angle_gamma 90.00
loop_
_symmetry_equiv_pos_as_xyz
'x,y,z'
'x,-y,z'
loop_
_atom_site_label
_atom_site_type_symbol
_atom_site_fract_x
_atom_site_fract_y
_atom_site_fract_z
_atom_site_occupancy
Cr1 Cr 0.000 0.000 0.000 1
Cr2 Cr 0.164 0.500 0.331 1
Te1 Te 0.438 0.500 0.876 1
Pt1 Pt 0.720 0.000 0.442 1

***

No. 2
# PBE Pr2I, optimized geometry
# E_form (uncorrected): -508.8 meV per atom
# density of states at the Fermi level: 10.5 states/eV/cell
data_Pr2I
_symmetry_space_group_name_H-M 'F m m m'
_symmetry_Int_Tables_number 69
_symmetry_space_group_name_Hall '-F 2 2'
_cell_length_a 4.698
_cell_length_b 5.960
_cell_length_c 15.045
_cell_angle_alpha 90.00
_cell_angle_beta 90.00
_cell_angle_gamma 90.00
loop_
_atom_site_label
_atom_site_type_symbol
_atom_site_fract_x
_atom_site_fract_y
_atom_site_fract_z
_atom_site_occupancy
Pr1 Pr 0.000 0.000 0.163 1
I1 I 0.000 0.000 0.500 1

***

No. 3
# PBE SiSbW2N, optimized geometry
# E_form (uncorrected): 2537.6 meV per atom
# density of states at the Fermi level: 4.9 states/eV/cell
data_SiSbW2N
_symmetry_space_group_name_H-M 'P 4/m m m'
_symmetry_Int_Tables_number 123
_symmetry_space_group_name_Hall '-P 4 2'
_cell_length_a 4.560
_cell_length_b 4.560
_cell_length_c 4.907
_cell_angle_alpha 90.00
_cell_angle_beta 90.00
_cell_angle_gamma 90.00
loop_
_atom_site_label
_atom_site_type_symbol
_atom_site_fract_x
_atom_site_fract_y
_atom_site_fract_z
_atom_site_occupancy
Si1 Si 0.000 0.000 0.000 1
Sb1 Sb 0.000 0.000 0.500 1
W1 W 0.000 0.500 0.000 1
N1 N 0.500 0.500 0.500 1

***

No. 4
# PBE CaTiCl2, optimized geometry
# energy relative to the lowest polymorph listed for this composition: 99.1 meV/atom
# E_form (uncorrected): -842.3 meV per atom
# density of states at the Fermi level: 12.5 states/eV/cell
data_CaTiCl2
_symmetry_space_group_name_H-M 'I -4 2 d'
_symmetry_Int_Tables_number 122
_symmetry_space_group_name_Hall 'I -4 2bw'
_cell_length_a 5.097
_cell_length_b 5.097
_cell_length_c 15.721
_cell_angle_alpha 90.00
_cell_angle_beta 90.00
_cell_angle_gamma 90.00
loop_
_atom_site_label
_atom_site_type_symbol
_atom_site_fract_x
_atom_site_fract_y
_atom_site_fract_z
_atom_site_occupancy
Ca1 Ca 0.000 0.000 0.000 1
Ti1 Ti 0.000 0.000 0.500 1
Cl1 Cl 0.214 0.250 0.625 1

***

No. 5
# PBE Zr4Pd5Rh4, optimized geometry
# DFT formation energy: -64 kJ per mole of atoms
# density of states at the Fermi level: 13.1 states/eV/cell
data_Zr4Pd5Rh4
_symmetry_space_group_name_H-M 'I 4/m'
_symmetry_Int_Tables_number 87
_symmetry_space_group_name_Hall '-I 4'
_cell_length_a 10.319
_cell_length_b 10.319
_cell_length_c 4.114
_cell_angle_alpha 90.00
_cell_angle_beta 90.00
_cell_angle_gamma 90.00
loop_
_atom_site_label
_atom_site_type_symbol
_atom_site_fract_x
_atom_site_fract_y
_atom_site_fract_z
_atom_site_occupancy
Zr1 Zr 0.127 0.240 0.000 1
Pd1 Pd 0.000 0.000 0.000 1
Pd2 Pd 0.054 0.813 0.500 1
Rh1 Rh 0.092 0.615 0.000 1

***

No. 6
# PBE Pa2NbGe3, optimized geometry
# DFT formation energy: -29 kJ per mole of atoms
# density of states at the Fermi level: 28.8 states/eV/cell
data_Pa2NbGe3
_symmetry_space_group_name_H-M 'C m c m'
_symmetry_Int_Tables_number 63
_symmetry_space_group_name_Hall '-C 2c 2'
_cell_length_a 11.491
_cell_length_b 8.352
_cell_length_c 5.487
_cell_angle_alpha 90.00
_cell_angle_beta 90.00
_cell_angle_gamma 90.00
loop_
_atom_site_label
_atom_site_type_symbol
_atom_site_fract_x
_atom_site_fract_y
_atom_site_fract_z
_atom_site_occupancy
Pa1 Pa 0.122 0.193 0.250 1
Nb1 Nb 0.000 0.438 0.750 1
Ge1 Ge 0.000 0.127 0.750 1
Ge2 Ge 0.196 0.500 0.000 1

***

No. 7
# PBE ErPRhO, optimized geometry
# E_form (uncorrected): -2059.1 meV per atom
# density of states at the Fermi level: 4.4 states/eV/cell
data_ErPRhO
_symmetry_space_group_name_H-M 'P 4/n m m'
_symmetry_Int_Tables_number 129
_cell_length_a 3.937
_cell_length_b 3.937
_cell_length_c 7.968
_cell_angle_alpha 90.00
_cell_angle_beta 90.00
_cell_angle_gamma 90.00
loop_
_symmetry_equiv_pos_as_xyz
'x,y,z'
'-x,-y,-z'
'-y+1/2,x,z'
'y+1/2,-x,-z'
'-x+1/2,-y+1/2,z'
'x+1/2,y+1/2,-z'
'y,-x+1/2,z'
'-y,x+1/2,-z'
'x+1/2,-y,-z'
'-x+1/2,y,z'
'-y,-x,-z'
'y,x,z'
'-x,y+1/2,-z'
'x,-y+1/2,z'
'y+1/2,x+1/2,-z'
'-y+1/2,-x+1/2,z'
loop_
_atom_site_label
_atom_site_type_symbol
_atom_site_fract_x
_atom_site_fract_y
_atom_site_fract_z
_atom_site_occupancy
Er1 Er 0.250 0.250 0.133 1
P1 P 0.250 0.250 0.663 1
Rh1 Rh 0.250 0.750 0.500 1
O1 O 0.250 0.750 0.000 1

***

No. 8
# PBE ThTaGa2, optimized geometry
# DFT formation energy: -14 kJ per mole of atoms
# density of states at the Fermi level: 7.3 states/eV/cell
data_ThTaGa2
_symmetry_space_group_name_H-M 'R -3 m'
_symmetry_Int_Tables_number 166
_symmetry_space_group_name_Hall '-R 3 2"'
_cell_length_a 4.4193
_cell_length_b 4.4193
_cell_length_c 15.7160
_cell_angle_alpha 90.00
_cell_angle_beta 90.00
_cell_angle_gamma 120.00
loop_
_atom_site_label
_atom_site_type_symbol
_atom_site_fract_x
_atom_site_fract_y
_atom_site_fract_z
_atom_site_occupancy
Th1 Th 0.0000 0.0000 0.0000 1
Ta1 Ta 0.0000 0.0000 0.5000 1
Ga1 Ga 0.0000 0.0000 0.2232 1